Entry 1:
{"formula": "Ba4Tl3Hg", "functional": "PBE", "state": "relaxed", "lattice": [[5.834, 0.000, -1.575], [-0.426, 5.816, -1.579], [-0.552, -0.573, 9.546]], "species": ["Hg", "Tl", "Ba", "Tl", "Ba", "Tl", "Ba", "Ba"], "frac_coords": [[0.500, 0.000, 0.000], [0.000, 0.500, 0.000], [0.377, 0.377, 0.754], [0.752, 0.253, 0.505], [0.877, 0.877, 0.754], [0.248, 0.747, 0.495], [0.623, 0.623, 0.246], [0.123, 0.123, 0.246]], "formation_enthalpy_0k_ev_per_atom": -0.44, "m_tot_mub_per_fu": 0.0, "volume_a3_per_atom": 39.1}

Entry 2:
{"formula": "EuPuTc4", "functional": "PBE", "state": "relaxed", "lattice": [[5.408, 0.000, 0.000], [2.704, 4.683, 0.000], [2.704, 1.561, 4.416]], "species": ["Tc", "Tc", "Tc", "Eu", "Pu", "Tc"], "frac_coords": [[0.125, 0.625, 0.625], [0.625, 0.125, 0.625], [0.625, 0.625, 0.625], [0.000, 0.000, 0.000], [0.250, 0.250, 0.250], [0.625, 0.625, 0.125]], "formation_enthalpy_0k_ev_per_atom": 0.16, "m_tot_mub_per_fu": 0.9, "volume_a3_per_atom": 18.6}

Entry 3:
{"formula": "PmCo6Sn12", "functional": "PBE", "state": "relaxed", "lattice": [[7.705, -0.123, -0.173], [-2.029, 7.434, -0.173], [-2.029, -2.613, 6.962]], "species": ["Sn", "Sn", "Sn", "Co", "Sn", "Sn", "Sn", "Co", "Sn", "Pm", "Co", "Co", "Co", "Sn", "Sn", "Sn", "Sn", "Co", "Sn"], "frac_coords": [[0.121, 0.500, 0.879], [0.879, 0.500, 0.121], [0.591, 0.848, 0.591], [0.302, 0.724, 0.724], [0.879, 0.121, 0.500], [0.848, 0.591, 0.591], [0.500, 0.879, 0.121], [0.724, 0.724, 0.302], [0.409, 0.152, 0.409], [0.000, 0.000, 0.000], [0.698, 0.276, 0.276], [0.276, 0.698, 0.276], [0.724, 0.302, 0.724], [0.409, 0.409, 0.152], [0.121, 0.879, 0.500], [0.152, 0.409, 0.409], [0.591, 0.591, 0.848], [0.276, 0.276, 0.698], [0.500, 0.121, 0.879]], "formation_enthalpy_0k_ev_per_atom": 0.04, "m_tot_mub_per_fu": 0.0, "volume_a3_per_atom": 20.5}

Entry 4:
{"formula": "RbDy2Pa", "functional": "PBE", "state": "relaxed", "lattice": [[3.510, 0.000, 0.000], [1.755, 3.039, 0.000], [1.755, 1.013, 12.944]], "species": ["Rb", "Dy", "Dy", "Pa"], "frac_coords": [[0.000, 0.000, 0.000], [0.902, 0.902, 0.294], [0.098, 0.098, 0.706], [0.500, 0.500, 0.500]], "formation_enthalpy_0k_ev_per_atom": 0.38, "m_tot_mub_per_fu": 0.0, "volume_a3_per_atom": 34.5}

Entry 5:
{"formula": "TlPI3", "functional": "PBE", "state": "relaxed", "lattice": [[6.091, 0.000, 0.000], [0.000, 6.091, 0.000], [0.000, 0.000, 6.091]], "species": ["I", "I", "I", "Tl", "P"], "frac_coords": [[0.000, 0.500, 0.000], [0.500, 0.000, 0.000], [0.000, 0.000, 0.500], [0.000, 0.000, 0.000], [0.500, 0.500, 0.500]], "relative_energy_ev_per_atom": 0.853, "m_tot_mub_per_fu": 2.5, "e_form_raw_kj_per_mol_fu": 289, "volume_a3_per_atom": 45.2}